AcPmSbAs | PBE | relaxed

mass density = 7.07 g/cm³
raw formation energy = -1.154 eV per atom
relative energy among the computed polymorphs = 0 meV per atom

Cell and atoms, written as CIF:
```
data_AcPmSbAs
_chemical_formula_sum 'Ac3 Pm3 Sb3 As3'
_cell_length_a 4.4417
_cell_length_b 4.4417
_cell_length_c 23.4389
_cell_angle_alpha 90.00
_cell_angle_beta 90.00
_cell_angle_gamma 120.00
_symmetry_space_group_name_H-M 'R 3 m'
_symmetry_Int_Tables_number 160
_symmetry_space_group_name_Hall 'R 3 -2"'
loop_
_atom_site_label
_atom_site_fract_x
_atom_site_fract_y
_atom_site_fract_z
Ac1 0.0000 0.0000 0.0000
Pm1 0.0000 0.0000 0.1618
Sb1 0.0000 0.0000 0.5764
As1 0.0000 0.0000 0.4179
```

=====

AcPmAsSe | PBE | relaxed

mass density = 8.23 g/cm³
raw formation energy = -1.395 eV per atom
relative energy among the computed polymorphs = 327 meV per atom

Cell and atoms, written as CIF:
```
data_AcPmAsSe
_chemical_formula_sum 'Ac4 Pm4 As4 Se4'
_cell_length_a 7.514
_cell_length_b 7.514
_cell_length_c 7.514
_cell_angle_alpha 90.00
_cell_angle_beta 90.00
_cell_angle_gamma 90.00
_symmetry_space_group_name_H-M 'F -4 3 m'
_symmetry_Int_Tables_number 216
_symmetry_space_group_name_Hall 'F -4 2 3'
loop_
_atom_site_label
_atom_site_fract_x
_atom_site_fract_y
_atom_site_fract_z
Ac1 0.000 0.000 0.000
Pm1 0.000 0.000 0.500
As1 0.250 0.250 0.250
Se1 0.250 0.250 0.750
```

=====

AcPmAsSe | PBE | relaxed

mass density = 7.41 g/cm³
raw formation energy = -1.721 eV per atom
relative energy among the computed polymorphs = 0 meV per atom

Cell and atoms, written as CIF:
```
data_AcPmAsSe
_chemical_formula_sum 'Ac3 Pm3 As3 Se3'
_cell_length_a 4.3570
_cell_length_b 4.3570
_cell_length_c 21.5182
_cell_angle_alpha 90.00
_cell_angle_beta 90.00
_cell_angle_gamma 120.00
_symmetry_space_group_name_H-M 'R 3 m'
_symmetry_Int_Tables_number 160
_symmetry_space_group_name_Hall 'R 3 -2"'
loop_
_atom_site_label
_atom_site_fract_x
_atom_site_fract_y
_atom_site_fract_z
Ac1 0.0000 0.0000 0.0000
Pm1 0.0000 0.0000 0.5068
As1 0.0000 0.0000 0.2477
Se1 0.0000 0.0000 0.7587
```

=====

Ac2Pm3SmAs6 | PBE | relaxed

mass density = 7.11 g/cm³
raw total energy = -6.074 eV/atom

Cell and atoms, written as CIF:
```
data_Ac2Pm3SmAs6
_chemical_formula_sum 'Ac4 Pm6 Sm2 As12'
_cell_length_a 18.930
_cell_length_b 4.343
_cell_length_c 8.696
_cell_angle_alpha 90.00
_cell_angle_beta 103.34
_cell_angle_gamma 90.00
_symmetry_space_group_name_H-M 'C 1 2/m 1'
_symmetry_Int_Tables_number 12
_symmetry_space_group_name_Hall '-C 2y'
loop_
_atom_site_label
_atom_site_fract_x
_atom_site_fract_y
_atom_site_fract_z
Ac1 0.165 0.000 0.331
Pm1 0.000 0.500 0.500
Pm2 0.166 0.000 0.835
Sm1 0.000 0.500 0.000
As1 0.004 0.000 0.754
As2 0.163 0.500 0.593
As3 0.166 0.500 0.072
```

=====

SrAcPm2As4 | PBE | relaxed

mass density = 6.32 g/cm³
raw total energy = -5.574 eV/atom

Cell and atoms, written as CIF:
```
data_SrAcPm2As4
_chemical_formula_sum 'Sr1 Ac1 Pm2 As4'
_cell_length_a 7.543
_cell_length_b 4.365
_cell_length_c 7.645
_cell_angle_alpha 90.00
_cell_angle_beta 109.25
_cell_angle_gamma 90.00
_symmetry_space_group_name_H-M 'P 1 2/m 1'
_symmetry_Int_Tables_number 10
_symmetry_space_group_name_Hall '-P 2y'
loop_
_atom_site_label
_atom_site_fract_x
_atom_site_fract_y
_atom_site_fract_z
Sr1 0.000 0.000 0.000
Ac1 0.500 0.500 0.000
Pm1 0.000 0.500 0.500
Pm2 0.500 0.000 0.500
As1 0.245 0.000 0.732
As2 0.258 0.500 0.269
```

=====

AcTb2PmAs4 | PBE | relaxed

mass density = 7.45 g/cm³
raw total energy = -6.079 eV/atom

Cell and atoms, written as CIF:
```
data_AcTb2PmAs4
_chemical_formula_sum 'Ac1 Tb2 Pm1 As4'
_cell_length_a 7.395
_cell_length_b 4.272
_cell_length_c 7.400
_cell_angle_alpha 90.00
_cell_angle_beta 109.41
_cell_angle_gamma 90.00
_symmetry_space_group_name_H-M 'P 1 2/m 1'
_symmetry_Int_Tables_number 10
_symmetry_space_group_name_Hall '-P 2y'
loop_
_atom_site_label
_atom_site_fract_x
_atom_site_fract_y
_atom_site_fract_z
Ac1 0.000 0.000 0.000
Tb1 0.500 0.000 0.500
Tb2 0.500 0.500 0.000
Pm1 0.000 0.500 0.500
As1 0.261 0.000 0.747
As2 0.267 0.500 0.263
```